# K3DyEr2Te6, relaxed, DFT PBE
# Space group   C2/m (12)
# Total magnetization   0.00 μB per formula unit
# Formation energy without anion corrections   -1387 meV/atom
data_K3DyEr2Te6
_chemical_formula_sum 'K3 Dy1 Er2 Te6'
_symmetry_space_group_name_H-M 'P 1'
_symmetry_Int_Tables_number 1
_symmetry_space_group_name_Hall 'P 1'
_cell_length_a 7.752
_cell_length_b 7.752
_cell_length_c 8.637
_cell_angle_alpha 98.61
_cell_angle_beta 98.61
_cell_angle_gamma 120.00
loop_
_atom_site_label
_atom_site_fract_x
_atom_site_fract_y
_atom_site_fract_z
_atom_site_occupancy
K1 0.000 0.000 0.000 1
K2 0.334 0.666 0.000 1
K3 0.666 0.334 0.000 1
Dy1 0.500 0.500 0.500 1
Er1 0.167 0.833 0.500 1
Er2 0.833 0.167 0.500 1
Te1 0.096 0.431 0.293 1
Te2 0.234 0.234 0.707 1
Te3 0.431 0.096 0.293 1
Te4 0.569 0.904 0.707 1
Te5 0.766 0.766 0.293 1
Te6 0.904 0.569 0.707 1